*P*
Here is SmNbIr2 after structural relaxation from the Alexandria database. Energies are from PBE.

a b c (Å): 5.571 5.571 5.571
angles (deg): 46.53 46.53 46.53
Fractional positions:
Sm (0.000, 0.000, 0.000)
Nb (0.500, 0.500, 0.500)
Ir (0.215, 0.215, 0.215)
Ir (0.785, 0.785, 0.785)

total moment	0.0	μB per formula unit
density of states at the Fermi level	4.0	states/eV per cell
ρ	12.539	g/cm³

---

*Q*
Here is SmNbIr2 after structural relaxation from the Alexandria database. Energies are from PBE.

a b c (Å): 3.159 3.159 7.569
angles (deg): 90.00 90.00 90.00
Fractional positions:
Sm (0.000, 0.000, 0.000)
Nb (0.000, 0.000, 0.500)
Ir (0.500, 0.500, 0.294)
Ir (0.500, 0.500, 0.706)

total moment	0.0	μB per formula unit
density of states at the Fermi level	3.0	states/eV per cell
ρ	13.802	g/cm³

---

The structure with the least stability is *P*.

---

*P*
Here is SrNbIr2 after structural relaxation from the Alexandria database. Energies are from PBE.

a b c (Å): 4.751 4.751 4.751
angles (deg): 60.00 60.00 60.00
Fractional positions:
Sr (0.000, 0.000, 0.000)
Nb (0.500, 0.500, 0.500)
Ir (0.250, 0.250, 0.250)
Ir (0.750, 0.750, 0.750)

total moment	0.0	μB per formula unit
density of states at the Fermi level	4.4	states/eV per cell
ρ	12.373	g/cm³

---

*Q*
Here is SrNbIr2 after structural relaxation from the Alexandria database. Energies are from PBE.

a b c (Å): 6.155 6.155 6.155
angles (deg): 104.92 104.92 119.01
Fractional positions:
Sr (0.000, 0.000, 0.000)
Sr (0.750, 0.250, 0.500)
Nb (0.250, 0.750, 0.500)
Nb (0.500, 0.500, 0.000)
Ir (0.179, 0.125, 0.554)
Ir (0.375, 0.821, 0.946)
Ir (0.571, 0.625, 0.446)
Ir (0.875, 0.429, 0.054)

total moment	0.0	μB per formula unit
density of states at the Fermi level	4.7	states/eV per cell
ρ	10.679	g/cm³

---

*R*
Here is SrNbIr2 after structural relaxation from the Alexandria database. Energies are from PBE.

a b c (Å): 3.208 3.208 7.745
angles (deg): 90.00 90.00 90.00
Fractional positions:
Sr (0.000, 0.000, 0.000)
Nb (0.000, 0.000, 0.500)
Ir (0.500, 0.500, 0.308)
Ir (0.500, 0.500, 0.692)

total moment	0.0	μB per formula unit
density of states at the Fermi level	3.0	states/eV per cell
ρ	11.769	g/cm³

---

The structure with the least stability is *Q*.

---

*P*
Here is SrNb3Ir after structural relaxation from the Alexandria database. Energies are from PBE.

a b c (Å): 5.006 5.006 5.006
angles (deg): 90.00 90.00 90.00
Fractional positions:
Sr (0.000, 0.000, 0.000)
Nb (0.000, 0.500, 0.500)
Nb (0.500, 0.000, 0.500)
Nb (0.500, 0.500, 0.000)
Ir (0.500, 0.500, 0.500)

total moment	0.0	μB per formula unit
density of states at the Fermi level	5.3	states/eV per cell
ρ	7.393	g/cm³

---

*Q*
Here is SrNb3Ir after structural relaxation from the Alexandria database. Energies are from PBE.

a b c (Å): 4.731 4.731 4.731
angles (deg): 90.00 90.00 90.00
Fractional positions:
Sr (0.000, 0.000, 0.000)
Nb (0.000, 0.000, 0.500)
Nb (0.000, 0.500, 0.000)
Nb (0.500, 0.000, 0.000)
Ir (0.500, 0.500, 0.500)

total moment	0.0	μB per formula unit
density of states at the Fermi level	9.9	states/eV per cell
ρ	8.758	g/cm³

---

The structure with the least stability is *Q*.

---

*P*
Here is Sr2NbIr after structural relaxation from the Alexandria database. Energies are from PBE.

a b c (Å): 5.320 5.320 5.320
angles (deg): 60.00 60.00 60.00
Fractional positions:
Sr (0.250, 0.250, 0.250)
Sr (0.750, 0.750, 0.750)
Nb (0.000, 0.000, 0.000)
Ir (0.500, 0.500, 0.500)

total moment	4.1	μB per formula unit
density of states at the Fermi level	1.8	states/eV per cell
ρ	7.180	g/cm³

---

*Q*
Here is Sr2NbIr after structural relaxation from the Alexandria database. Energies are from PBE.

a b c (Å): 8.346 8.346 8.346
angles (deg): 94.90 94.90 146.02
Fractional positions:
Sr (0.375, 0.037, 0.162)
Sr (0.787, 0.625, 0.662)
Sr (0.875, 0.213, 0.838)
Sr (0.963, 0.125, 0.338)
Nb (0.250, 0.750, 0.500)
Nb (0.500, 0.500, 0.000)
Ir (0.000, 0.000, 0.000)
Ir (0.750, 0.250, 0.500)

total moment	2.1	μB per formula unit
density of states at the Fermi level	10.8	states/eV per cell
ρ	4.920	g/cm³

---

The structure with the least stability is *P*.

---

*P*
Here is SrTaNbIr2 after structural relaxation from the Alexandria database. Energies are from PBE.

a b c (Å): 4.795 4.795 4.801
angles (deg): 90.00 90.00 90.00
Fractional positions:
Sr (0.000, 0.000, 0.000)
Ta (0.500, 0.500, 0.500)
Nb (0.000, 0.000, 0.500)
Ir (0.000, 0.500, 0.000)
Ir (0.500, 0.000, 0.000)

total moment	0.0	μB per formula unit
density of states at the Fermi level	7.2	states/eV per cell
ρ	11.223	g/cm³

---

*Q*
Here is SrTaNbIr2 after structural relaxation from the Alexandria database. Energies are from PBE.

a b c (Å): 6.210 6.210 6.210
angles (deg): 137.47 137.47 61.71
Fractional positions:
Sr (0.000, 0.000, 0.000)
Ta (0.250, 0.750, 0.500)
Nb (0.750, 0.250, 0.500)
Ir (0.372, 0.372, 0.000)
Ir (0.628, 0.628, 0.000)

total moment	0.0	μB per formula unit
density of states at the Fermi level	3.0	states/eV per cell
ρ	11.450	g/cm³

---

The structure with the least stability is *P*.

---

*P*
Here is TaNb6Ir after structural relaxation from the Alexandria database. Energies are from PBE.

a b c (Å): 5.236 5.236 5.236
angles (deg): 90.00 90.00 90.00
Fractional positions:
Ta (0.000, 0.000, 0.000)
Nb (0.000, 0.253, 0.500)
Nb (0.000, 0.747, 0.500)
Nb (0.253, 0.500, 0.000)
Nb (0.500, 0.000, 0.253)
Nb (0.500, 0.000, 0.747)
Nb (0.747, 0.500, 0.000)
Ir (0.500, 0.500, 0.500)

total moment	0.0	μB per formula unit
density of states at the Fermi level	8.8	states/eV per cell
ρ	10.766	g/cm³

---

*Q*
Here is TaNb6Ir after structural relaxation from the Alexandria database. Energies are from PBE.

a b c (Å): 5.682 5.682 4.618
angles (deg): 90.00 90.00 109.37
Fractional positions:
Ta (0.000, 0.000, 0.000)
Nb (0.000, 0.500, 0.000)
Nb (0.249, 0.751, 0.500)
Nb (0.252, 0.252, 0.500)
Nb (0.500, 0.000, 0.000)
Nb (0.748, 0.748, 0.500)
Nb (0.751, 0.249, 0.500)
Ir (0.500, 0.500, 0.000)

total moment	0.0	μB per formula unit
density of states at the Fermi level	8.7	states/eV per cell
ρ	10.989	g/cm³

---

The structure with the least stability is *P*.

---

*P*
Here is Ta6Nb3Ir after structural relaxation from the Alexandria database. Energies are from PBE.

a b c (Å): 10.645 2.853 12.970
angles (deg): 90.00 111.37 90.00
Fractional positions:
Ta (0.123, 0.250, 0.208)
Ta (0.145, 0.750, 0.786)
Ta (0.234, 0.250, 0.608)
Ta (0.286, 0.750, 0.411)
Ta (0.364, 0.750, 0.174)
Ta (0.374, 0.250, 0.967)
Ta (0.626, 0.750, 0.033)
Ta (0.636, 0.250, 0.826)
Ta (0.714, 0.250, 0.589)
Ta (0.766, 0.750, 0.392)
Ta (0.855, 0.250, 0.214)
Ta (0.877, 0.750, 0.792)
Nb (0.032, 0.750, 0.404)
Nb (0.124, 0.750, 0.994)
Nb (0.492, 0.750, 0.614)
Nb (0.508, 0.250, 0.386)
Nb (0.876, 0.250, 0.006)
Nb (0.968, 0.250, 0.596)
Ir (0.401, 0.750, 0.797)
Ir (0.599, 0.250, 0.203)

total moment	0.0	μB per formula unit
density of states at the Fermi level	20.6	states/eV per cell
ρ	14.095	g/cm³

---

*Q*
Here is Ta6Nb3Ir after structural relaxation from the Alexandria database. Energies are from PBE.

a b c (Å): 8.069 4.670 9.798
angles (deg): 90.00 105.78 90.00
Fractional positions:
Ta (0.048, 0.250, 0.397)
Ta (0.150, 0.750, 0.196)
Ta (0.255, 0.250, 0.998)
Ta (0.351, 0.250, 0.299)
Ta (0.353, 0.750, 0.805)
Ta (0.449, 0.250, 0.602)
Ta (0.551, 0.750, 0.398)
Ta (0.647, 0.250, 0.195)
Ta (0.649, 0.750, 0.701)
Ta (0.745, 0.750, 0.002)
Ta (0.850, 0.250, 0.804)
Ta (0.952, 0.750, 0.603)
Nb (0.049, 0.750, 0.899)
Nb (0.151, 0.250, 0.700)
Nb (0.254, 0.750, 0.502)
Nb (0.746, 0.250, 0.498)
Nb (0.849, 0.750, 0.300)
Nb (0.951, 0.250, 0.101)
Ir (0.450, 0.750, 0.100)
Ir (0.550, 0.250, 0.900)

total moment	0.0	μB per formula unit
density of states at the Fermi level	21.7	states/eV per cell
ρ	14.551	g/cm³

---

The structure with the least stability is *P*.

---

*P*
Here is Ta2NbIr2 after structural relaxation from the Alexandria database. Energies are from PBE.

a b c (Å): 7.630 7.630 2.965
angles (deg): 90.00 90.00 90.00
Fractional positions:
Ta (0.166, 0.334, 0.000)
Ta (0.334, 0.834, 0.000)
Ta (0.666, 0.166, 0.000)
Ta (0.834, 0.666, 0.000)
Nb (0.000, 0.000, 0.500)
Nb (0.500, 0.500, 0.500)
Ir (0.132, 0.632, 0.500)
Ir (0.368, 0.132, 0.500)
Ir (0.632, 0.868, 0.500)
Ir (0.868, 0.368, 0.500)

total moment	0.0	μB per formula unit
density of states at the Fermi level	5.6	states/eV per cell
ρ	16.147	g/cm³

---

*Q*
Here is Ta2NbIr2 after structural relaxation from the Alexandria database. Energies are from PBE.

a b c (Å): 6.220 6.220 6.220
angles (deg): 140.76 140.76 56.70
Fractional positions:
Ta (0.250, 0.750, 0.500)
Ta (0.750, 0.250, 0.500)
Nb (0.000, 0.000, 0.000)
Ir (0.387, 0.387, 0.000)
Ir (0.613, 0.613, 0.000)

total moment	0.0	μB per formula unit
density of states at the Fermi level	5.6	states/eV per cell
ρ	14.595	g/cm³

---

*R*
Here is Ta2NbIr2 after structural relaxation from the Alexandria database. Energies are from PBE.

a b c (Å): 7.693 7.693 2.926
angles (deg): 90.00 90.00 90.00
Fractional positions:
Ta (0.158, 0.342, 0.000)
Ta (0.342, 0.842, 0.000)
Ta (0.658, 0.158, 0.000)
Ta (0.842, 0.658, 0.000)
Nb (0.000, 0.000, 0.000)
Nb (0.500, 0.500, 0.000)
Ir (0.140, 0.640, 0.500)
Ir (0.360, 0.140, 0.500)
Ir (0.640, 0.860, 0.500)
Ir (0.860, 0.360, 0.500)

total moment	0.0	μB per formula unit
density of states at the Fermi level	6.6	states/eV per cell
ρ	16.093	g/cm³

---

The structure with the least stability is *Q*.

---

*P*
Here is TaNb3Ir after structural relaxation from the Alexandria database. Energies are from PBE.

a b c (Å): 4.796 4.796 4.796
angles (deg): 90.00 90.00 90.00
Fractional positions:
Ta (0.000, 0.000, 0.000)
Nb (0.000, 0.000, 0.500)
Nb (0.000, 0.500, 0.000)
Nb (0.500, 0.000, 0.000)
Ir (0.500, 0.500, 0.500)

total moment	0.0	μB per formula unit
density of states at the Fermi level	8.0	states/eV per cell
ρ	9.815	g/cm³

---

*Q*
Here is TaNb3Ir after structural relaxation from the Alexandria database. Energies are from PBE.

a b c (Å): 4.817 4.817 4.817
angles (deg): 90.00 90.00 90.00
Fractional positions:
Ta (0.000, 0.000, 0.000)
Nb (0.000, 0.500, 0.500)
Nb (0.500, 0.000, 0.500)
Nb (0.500, 0.500, 0.000)
Ir (0.500, 0.500, 0.500)

total moment	0.0	μB per formula unit
density of states at the Fermi level	10.1	states/eV per cell
ρ	9.686	g/cm³

---

The structure with the least stability is *P*.

---

*P*
Here is TaNbIr3 after structural relaxation from the Alexandria database. Energies are from PBE.

a b c (Å): 7.142 7.142 4.934
angles (deg): 90.00 90.00 136.61
Fractional positions:
Ta (0.188, 0.812, 0.750)
Ta (0.812, 0.188, 0.250)
Nb (0.438, 0.562, 0.250)
Nb (0.562, 0.438, 0.750)
Ir (0.000, 0.000, 0.000)
Ir (0.000, 0.000, 0.500)
Ir (0.116, 0.400, 0.750)
Ir (0.400, 0.116, 0.250)
Ir (0.600, 0.884, 0.750)
Ir (0.884, 0.600, 0.250)

total moment	0.0	μB per formula unit
density of states at the Fermi level	8.2	states/eV per cell
ρ	16.341	g/cm³

---

*Q*
Here is TaNbIr3 after structural relaxation from the Alexandria database. Energies are from PBE.

a b c (Å): 4.716 4.716 4.716
angles (deg): 90.00 90.00 90.00
Fractional positions:
Ta (0.000, 0.000, 0.000)
Nb (0.500, 0.500, 0.500)
Ir (0.000, 0.000, 0.500)
Ir (0.000, 0.500, 0.000)
Ir (0.500, 0.000, 0.000)

total moment	0.0	μB per formula unit
density of states at the Fermi level	9.0	states/eV per cell
ρ	13.464	g/cm³

---

The structure with the least stability is *Q*.

---

*P*
Here is TaNb2Ir after structural relaxation from the Alexandria database. Energies are from PBE.

a b c (Å): 9.948 9.948 9.948
angles (deg): 16.56 16.56 16.56
Fractional positions:
Ta (0.000, 0.000, 0.000)
Nb (0.245, 0.245, 0.245)
Nb (0.755, 0.755, 0.755)
Ir (0.500, 0.500, 0.500)

total moment	0.0	μB per formula unit
density of states at the Fermi level	4.3	states/eV per cell
ρ	13.306	g/cm³

---

*Q*
Here is TaNb2Ir after structural relaxation from the Alexandria database. Energies are from PBE.

a b c (Å): 4.560 4.560 3.299
angles (deg): 90.00 90.00 90.00
Fractional positions:
Ta (0.000, 0.000, 0.000)
Nb (0.000, 0.500, 0.500)
Nb (0.500, 0.000, 0.500)
Ir (0.500, 0.500, 0.000)

total moment	0.0	μB per formula unit
density of states at the Fermi level	3.6	states/eV per cell
ρ	13.528	g/cm³

---

*R*
Here is TaNb2Ir after structural relaxation from the Alexandria database. Energies are from PBE.

a b c (Å): 5.935 5.935 5.935
angles (deg): 101.63 101.63 126.65
Fractional positions:
Ta (0.000, 0.000, 0.000)
Ta (0.750, 0.250, 0.500)
Nb (0.148, 0.625, 0.023)
Nb (0.375, 0.398, 0.523)
Nb (0.602, 0.125, 0.977)
Nb (0.875, 0.852, 0.477)
Ir (0.250, 0.750, 0.500)
Ir (0.500, 0.500, 0.000)

total moment	0.0	μB per formula unit
density of states at the Fermi level	8.2	states/eV per cell
ρ	12.384	g/cm³

---

The structure with the least stability is *R*.